Entry from Alexandria via LeMat-Bulk: a relaxed BeCrF3 crystal (PBE with a Hubbard U).

Output
**Offset from the most stable computed form**: 0 meV/atom
**DOS at the Fermi energy**: 0.985 states/eV/cell
**Total moment**: 5.00 μB per formula unit

```
data_BeCrF3
_chemical_formula_sum 'Be1 Cr1 F3'
_symmetry_space_group_name_H-M 'P m -3 m'
_symmetry_Int_Tables_number 221
_symmetry_space_group_name_Hall '-P 4 2 3'
_cell_length_a 3.643
_cell_length_b 3.643
_cell_length_c 3.643
_cell_angle_alpha 90.00
_cell_angle_beta 90.00
_cell_angle_gamma 90.00
loop_
_atom_site_label
_atom_site_type_symbol
_atom_site_fract_x
_atom_site_fract_y
_atom_site_fract_z
Be1 Be 0.000 0.000 0.000
Cr1 Cr 0.500 0.500 0.500
F1 F 0.000 0.000 0.500
```